4
Lattice="3.6878 0.0000 0.0000 0.0000 5.1754 0.1262 0.0000 -0.7368 5.1242" Properties=species:S:1:pos:R:3 comment="BaSc2Ag meta-GGA SCAN PBEsol geometry" energy_ev_per_atom=-24.46 n_ef_per_ev_cell=3.8 volume_a3_per_atom=24.5 space_group="Cmmm, No. 65" delta_e_f_ev_per_fu=1.55 pbc="T T T"
Ag 1.8439 0.0000 0.0000
Ba 1.8439 2.2193 2.6252
Sc 0.0000 2.5877 0.0631
Sc 0.0000 -0.3684 2.5621